# 1
First-principles (GGA+U) data for a relaxed TlVN2F crystal, as listed in Alexandria via LeMat-Bulk.

## Properties
DFT total energy (eV/atom): -5.7536
Density of states at the Fermi level (states/eV/cell): 3.07
Calculated volume (Å³ per atom): 12.83

Cell: 3.901 3.901 4.216 Å, 90.00 90.00 90.00°
Space group P4/mmm (No. 123)
One atom of each set of equivalent atoms:
Tl (0.000, 0.000, 0.000) [1 per cell]
V (0.500, 0.500, 0.500) [1 per cell]
N (0.000, 0.500, 0.500) [2 per cell]
F (0.500, 0.500, 0.000) [1 per cell]

---

# 2
First-principles (GGA+U) data for a relaxed TlW2NF crystal, as listed in Alexandria via LeMat-Bulk.

## Properties
DFT total energy (eV/atom): -5.1364
Density of states at the Fermi level (states/eV/cell): 1.33
Calculated volume (Å³ per atom): 19.72

Cell: 4.112 4.112 5.831 Å, 90.00 90.00 90.00°
Space group P4/mmm (No. 123)
One atom of each set of equivalent atoms:
Tl (0.000, 0.000, 0.000) [1 per cell]
W (0.000, 0.500, 0.500) [2 per cell]
N (0.500, 0.500, 0.500) [1 per cell]
F (0.500, 0.500, 0.000) [1 per cell]